No. 1
VCuIrRh: optimized geometry, PBE. Values from VASP.

Geometry as Quantum ESPRESSO input:
```
&SYSTEM
  ibrav = 0, nat = 4, ntyp = 4
/
ATOMIC_SPECIES
Ir 192.22 Ir.upf
Rh 102.91 Rh.upf
Cu 63.55 Cu.upf
V 50.94 V.upf
ATOMIC_POSITIONS crystal
Ir 0.500 0.500 0.500
Rh 0.000 0.000 0.000
Cu 0.250 0.250 0.250
V 0.750 0.750 0.750
CELL_PARAMETERS angstrom
4.242 0.000 0.000
2.121 3.674 0.000
2.121 1.225 3.464
```

The value obtained for the energy of formation from the pure elements is -0.27 eV/atom. For the total magnetization, the calculation gives 0.0 μB per formula unit.

---

No. 2
InHgSb2: optimized geometry, PBE. Values from VASP.

Geometry as Quantum ESPRESSO input:
```
&SYSTEM
  ibrav = 0, nat = 8, ntyp = 3
/
ATOMIC_SPECIES
Sb 121.76 Sb.upf
Hg 200.59 Hg.upf
In 114.82 In.upf
ATOMIC_POSITIONS crystal
Sb 0.629 0.125 0.250
Sb 0.121 0.625 0.250
Sb 0.375 0.371 0.750
Sb 0.875 0.879 0.750
Hg 0.000 0.000 0.000
Hg 0.750 0.250 0.500
In 0.500 0.500 0.000
In 0.250 0.750 0.500
CELL_PARAMETERS angstrom
-5.801 0.951 -3.060
-2.623 -5.045 3.405
-6.015 2.059 4.867
```

As for the offset from the most stable computed form: 0.10 eV/f.u. The uncorrected formation energy is 67 meV/atom. For the total magnetization, the calculation gives 0.0 μB per formula unit.

---

No. 3
RbHfSc: optimized geometry, PBE. Values from VASP.

Geometry as Quantum ESPRESSO input:
```
&SYSTEM
  ibrav = 0, nat = 6, ntyp = 3
/
ATOMIC_SPECIES
Sc 44.96 Sc.upf
Hf 178.49 Hf.upf
Rb 85.47 Rb.upf
ATOMIC_POSITIONS crystal
Sc 0.242 0.874 0.982
Sc 0.734 0.660 0.164
Hf 0.739 0.370 0.989
Hf 0.233 0.165 0.157
Rb 0.214 0.455 0.726
Rb 0.706 0.079 0.420
CELL_PARAMETERS angstrom
3.415 0.000 0.000
0.000 5.251 0.000
0.134 2.102 13.613
```

As for the offset from the most stable computed form: 0.17 eV/f.u. The value obtained for the energy of formation from the pure elements is 0.43 eV/atom. For the total magnetization, the calculation gives 0.0 μB per formula unit.

---

No. 4
AlReAg2: optimized geometry, PBE. Values from VASP.

Geometry as Quantum ESPRESSO input:
```
&SYSTEM
  ibrav = 0, nat = 4, ntyp = 3
/
ATOMIC_SPECIES
Re 186.21 Re.upf
Al 26.98 Al.upf
Ag 107.87 Ag.upf
ATOMIC_POSITIONS crystal
Re 0.000 0.500 0.500
Al 0.500 0.000 0.500
Ag 0.000 0.000 0.000
Ag 0.500 0.500 0.000
CELL_PARAMETERS angstrom
-2.244 -3.083 0.384
3.072 -2.131 0.840
-0.529 0.914 4.250
```

The value obtained for the energy of formation from the pure elements is 0.38 eV/atom. For the total magnetization, the calculation gives 0.0 μB per formula unit.

---

No. 5
RbSb3H: optimized geometry, PBE. Values from VASP.

Geometry as Quantum ESPRESSO input:
```
&SYSTEM
  ibrav = 0, nat = 5, ntyp = 3
/
ATOMIC_SPECIES
Sb 121.76 Sb.upf
Rb 85.47 Rb.upf
H 1.01 H.upf
ATOMIC_POSITIONS crystal
Sb 0.000 0.500 0.000
Sb 0.000 0.000 0.500
Sb 0.500 0.000 0.000
Rb 0.000 0.000 0.000
H 0.500 0.500 0.500
CELL_PARAMETERS angstrom
-0.241 -5.588 -2.859
5.355 -1.676 2.824
-3.274 -2.329 4.829
```

As for the offset from the most stable computed form: 7.64 eV/f.u. For the total magnetization, the calculation gives 0.8 μB per formula unit.

---

No. 6
BaPu4Pt3S12: optimized geometry, PBE. Values from VASP.

Geometry as Quantum ESPRESSO input:
```
&SYSTEM
  ibrav = 0, nat = 20, ntyp = 4
/
ATOMIC_SPECIES
Ba 137.33 Ba.upf
Pu 244.00 Pu.upf
Pt 195.08 Pt.upf
S 32.06 S.upf
ATOMIC_POSITIONS crystal
Ba 0.000 0.000 0.000
Pu 0.500 0.000 0.000
Pu 0.500 0.500 0.500
Pu 0.000 0.500 0.000
Pu 0.000 0.000 0.500
Pt 0.000 0.500 0.500
Pt 0.500 0.500 0.000
Pt 0.500 0.000 0.500
S 0.319 0.842 0.160
S 0.681 0.158 0.840
S 0.681 0.842 0.523
S 0.840 0.681 0.158
S 0.842 0.160 0.319
S 0.158 0.477 0.319
S 0.477 0.319 0.158
S 0.158 0.840 0.681
S 0.319 0.158 0.477
S 0.160 0.319 0.842
S 0.842 0.523 0.681
S 0.523 0.681 0.842
CELL_PARAMETERS angstrom
-1.435 -2.159 -8.065
8.315 1.097 1.193
-2.799 -6.149 5.110
```

The uncorrected formation energy is -1056 meV/atom. For the total magnetization, the calculation gives 16.0 μB per formula unit.

---

No. 7
Al2Co2Tc: optimized geometry, PBE. Values from VASP.

Geometry as Quantum ESPRESSO input:
```
&SYSTEM
  ibrav = 0, nat = 10, ntyp = 3
/
ATOMIC_SPECIES
Co 58.93 Co.upf
Tc 98.00 Tc.upf
Al 26.98 Al.upf
ATOMIC_POSITIONS crystal
Co 0.376 0.876 0.000
Co 0.876 0.624 0.000
Co 0.624 0.124 0.000
Co 0.124 0.376 0.000
Tc 0.000 0.000 0.000
Tc 0.500 0.500 0.000
Al 0.173 0.673 0.500
Al 0.673 0.827 0.500
Al 0.827 0.327 0.500
Al 0.327 0.173 0.500
CELL_PARAMETERS angstrom
-2.496 -5.438 -3.400
2.002 -4.126 5.131
-2.366 0.339 1.195
```

As for the offset from the most stable computed form: 0.32 eV/f.u. The value obtained for the energy of formation from the pure elements is -0.17 eV/atom. For the total magnetization, the calculation gives 0.0 μB per formula unit.

---

No. 8
Li2CoW: optimized geometry, PBE. Values from VASP.

Geometry as Quantum ESPRESSO input:
```
&SYSTEM
  ibrav = 0, nat = 4, ntyp = 3
/
ATOMIC_SPECIES
Co 58.93 Co.upf
Li 6.94 Li.upf
W 183.84 W.upf
ATOMIC_POSITIONS crystal
Co 0.500 0.500 0.717
Li 0.000 0.000 0.005
Li 0.500 0.500 0.235
W 0.000 0.000 0.543
CELL_PARAMETERS angstrom
-0.584 0.772 2.424
-2.305 -2.958 0.387
4.350 -3.122 2.042
```

As for the offset from the most stable computed form: 0.17 eV/f.u. The value obtained for the energy of formation from the pure elements is 0.32 eV/atom. For the total magnetization, the calculation gives 0.0 μB per formula unit.

---

no.,V (Å³/f.u.)
1,54.0
2,142.6
3,122.0
4,64.3
5,247.9
6,468.0
7,63.3
8,56.4